[1]
Density functional theory data (PBE) for a relaxed TiTcMoRu crystal.

Values from the calculation:
SG	F-43m, No. 216
calculated formation energy	-0.280	eV per atom

abc: 4.393 4.393 4.393
angles: 60.00 60.00 60.00
Fractional coordinates of all 4 atoms:
Ti  0.000  0.000  0.000
Tc  0.250  0.250  0.250
Mo  0.500  0.500  0.500
Ru  0.750  0.750  0.750

=====

[2]
Density functional theory data (PBE) for a relaxed BaCd2H crystal.

Values from the calculation:
SG	Fm-3m, No. 225
polymorph energy (0 for the lowest one)	242.0	meV/atom

abc: 5.534 5.534 5.534
angles: 60.00 60.00 60.00
Fractional coordinates of all 4 atoms:
Ba  0.000  0.000  0.000
Cd  0.250  0.250  0.250
Cd  0.750  0.750  0.750
H  0.500  0.500  0.500

=====

[3]
Density functional theory data (PBE) for a relaxed CaNd3Ni8 crystal.

Values from the calculation:
SG	R3m, No. 160
calculated formation energy	-0.290	eV per atom

abc: 8.937 8.937 8.937
angles: 33.48 33.48 33.48
Fractional coordinates of all 12 atoms:
Ca  0.000  0.000  0.000
Nd  0.124  0.124  0.124
Nd  0.502  0.502  0.502
Nd  0.629  0.629  0.629
Ni  0.064  0.064  0.563
Ni  0.064  0.563  0.064
Ni  0.065  0.563  0.563
Ni  0.314  0.314  0.314
Ni  0.563  0.064  0.064
Ni  0.563  0.065  0.563
Ni  0.563  0.563  0.065
Ni  0.814  0.814  0.814

=====

[4]
Density functional theory data (PBE) for a relaxed AlIN2F crystal.

Values from the calculation:
SG	P4/mmm, No. 123
energy relative to the elements, uncorrected	-0.005	eV/atom
polymorph energy (0 for the lowest one)	0.0	meV/atom

abc: 4.034 4.034 3.623
angles: 90.00 90.00 90.00
Fractional coordinates of all 5 atoms:
Al  0.000  0.000  0.000
I  0.500  0.500  0.500
N  0.000  0.500  0.000
N  0.500  0.000  0.000
F  0.000  0.000  0.500

=====

[5]
Density functional theory data (PBE) for a relaxed ZrSiS2 crystal.

Values from the calculation:
SG	R-3m, No. 166
energy relative to the elements, uncorrected	-0.708	eV/atom

abc: 8.429 8.429 8.429
angles: 23.86 23.86 23.86
Fractional coordinates of all 4 atoms:
Zr  0.000  0.000  0.000
Si  0.500  0.500  0.500
S  0.399  0.399  0.399
S  0.601  0.601  0.601

=====

[6]
Density functional theory data (PBE) for a relaxed HoZrMo4 crystal.

Values from the calculation:
SG	F-43m, No. 216
calculated formation energy	-0.022	eV per atom

abc: 5.444 5.444 5.444
angles: 60.00 60.00 60.00
Fractional coordinates of all 6 atoms:
Ho  0.000  0.000  0.000
Zr  0.250  0.250  0.250
Mo  0.125  0.625  0.625
Mo  0.625  0.125  0.625
Mo  0.625  0.625  0.125
Mo  0.625  0.625  0.625

=====

The evaluated E for the records listed, in turn: -9.87 -1.44 -5.50 -4.77 -6.26 -9.43 eV per atom.